Run a
# OsSe3S

A geometry-optimized OsSe3S structure (GGA-PBE, Alexandria).

abc: 4.659 4.659 4.659
angles: 90.00 90.00 90.00
Sites, in units of the cell vectors:
Os 0.000 0.000 0.000
Se 0.000 0.500 0.500
Se 0.500 0.000 0.500
Se 0.500 0.500 0.000
S 0.500 0.500 0.500

Space-group type = Pm-3m, No. 221
Total magnetization = 0.0 μB/f.u.


Run b
# OsSe3S

A geometry-optimized OsSe3S structure (GGA-PBE, Alexandria).

abc: 4.853 4.853 4.853
angles: 90.00 90.00 90.00
Sites, in units of the cell vectors:
Os 0.000 0.000 0.000
Se 0.000 0.000 0.500
Se 0.000 0.500 0.000
Se 0.500 0.000 0.000
S 0.500 0.500 0.500

Space-group type = Pm-3m, No. 221
Total magnetization = 0.0 μB/f.u.


Energy relative to the most stable one, in meV per atom: run a 660; run b 0


Run a
# Os2SeS

A geometry-optimized Os2SeS structure (GGA-PBE, Alexandria).

abc: 4.348 4.348 4.348
angles: 60.00 60.00 60.00
Sites, in units of the cell vectors:
Os 0.250 0.250 0.250
Os 0.750 0.750 0.750
Se 0.000 0.000 0.000
S 0.500 0.500 0.500

Space-group type = Fm-3m, No. 225
Total magnetization = 0.0 μB/f.u.


Run b
# Os2SeS

A geometry-optimized Os2SeS structure (GGA-PBE, Alexandria).

abc: 6.596 6.596 6.596
angles: 132.41 132.41 69.57
Sites, in units of the cell vectors:
Os 0.092 0.625 0.967
Os 0.375 0.342 0.467
Os 0.658 0.125 0.033
Os 0.875 0.908 0.533
Se 0.250 0.750 0.500
Se 0.500 0.500 0.000
S 0.000 0.000 0.000
S 0.750 0.250 0.500

Space-group type = I-42d, No. 122
Total magnetization = 0.0 μB/f.u.


Energy relative to the most stable one, in meV per atom: run a 358; run b 0


Run a
# SnOs3S

A geometry-optimized SnOs3S structure (GGA-PBE, Alexandria).

abc: 4.416 4.416 4.416
angles: 90.00 90.00 90.00
Sites, in units of the cell vectors:
Sn 0.000 0.000 0.000
Os 0.000 0.500 0.500
Os 0.500 0.000 0.500
Os 0.500 0.500 0.000
S 0.500 0.500 0.500

Space-group type = Pm-3m, No. 221
Total magnetization = 0.0 μB/f.u.


Run b
# SnOs3S

A geometry-optimized SnOs3S structure (GGA-PBE, Alexandria).

abc: 4.919 4.919 4.919
angles: 90.00 90.00 90.00
Sites, in units of the cell vectors:
Sn 0.000 0.000 0.000
Os 0.000 0.000 0.500
Os 0.000 0.500 0.000
Os 0.500 0.000 0.000
S 0.500 0.500 0.500

Space-group type = Pm-3m, No. 221
Total magnetization = 5.7 μB/f.u.


Energy relative to the most stable one, in meV per atom: run a 0; run b 1898


Run a
# SrOsS2

A geometry-optimized SrOsS2 structure (GGA-PBE, Alexandria).

abc: 7.276 7.276 7.276
angles: 133.33 133.33 68.14
Sites, in units of the cell vectors:
Sr 0.000 0.000 0.000
Sr 0.750 0.250 0.500
Os 0.250 0.750 0.500
Os 0.500 0.500 0.000
S 0.217 0.625 0.092
S 0.375 0.467 0.592
S 0.533 0.125 0.908
S 0.875 0.783 0.408

Space-group type = I-42d, No. 122
Total magnetization = 0.0 μB/f.u.


Run b
# SrOsS2

A geometry-optimized SrOsS2 structure (GGA-PBE, Alexandria).

abc: 8.105 8.105 8.105
angles: 27.12 27.12 27.12
Sites, in units of the cell vectors:
Sr 0.000 0.000 0.000
Os 0.500 0.500 0.500
S 0.122 0.122 0.122
S 0.878 0.878 0.878

Space-group type = R-3m, No. 166
Total magnetization = 0.0 μB/f.u.


Energy relative to the most stable one, in meV per atom: run a 0; run b 370


Run a
# TaOsS3

A geometry-optimized TaOsS3 structure (GGA-PBE, Alexandria).

abc: 4.755 4.755 4.755
angles: 90.00 90.00 90.00
Sites, in units of the cell vectors:
Ta 0.000 0.000 0.000
Os 0.500 0.500 0.500
S 0.000 0.000 0.500
S 0.000 0.500 0.000
S 0.500 0.000 0.000

Space-group type = Pm-3m, No. 221
Total magnetization = 4.2 μB/f.u.


Run b
# TaOsS3

A geometry-optimized TaOsS3 structure (GGA-PBE, Alexandria).

abc: 4.536 4.536 4.536
angles: 90.00 90.00 90.00
Sites, in units of the cell vectors:
Ta 0.000 0.000 0.000
Os 0.500 0.500 0.500
S 0.000 0.500 0.500
S 0.500 0.000 0.500
S 0.500 0.500 0.000

Space-group type = Pm-3m, No. 221
Total magnetization = 0.0 μB/f.u.


Energy relative to the most stable one, in meV per atom: run a 0; run b 91


Run a
# Ta3OsS

A geometry-optimized Ta3OsS structure (GGA-PBE, Alexandria).

abc: 4.476 4.476 4.476
angles: 90.00 90.00 90.00
Sites, in units of the cell vectors:
Ta 0.000 0.000 0.500
Ta 0.000 0.500 0.000
Ta 0.500 0.000 0.000
Os 0.500 0.500 0.500
S 0.000 0.000 0.000

Space-group type = Pm-3m, No. 221
Total magnetization = 0.0 μB/f.u.


Run b
# Ta3OsS

A geometry-optimized Ta3OsS structure (GGA-PBE, Alexandria).

abc: 4.861 4.861 4.861
angles: 90.00 90.00 90.00
Sites, in units of the cell vectors:
Ta 0.000 0.000 0.500
Ta 0.000 0.500 0.000
Ta 0.500 0.000 0.000
Os 0.000 0.000 0.000
S 0.500 0.500 0.500

Space-group type = Pm-3m, No. 221
Total magnetization = 0.0 μB/f.u.


Energy relative to the most stable one, in meV per atom: run a 0; run b 812


Run a
# TcOsS2

A geometry-optimized TcOsS2 structure (GGA-PBE, Alexandria).

abc: 7.994 7.994 7.994
angles: 21.50 21.50 21.50
Sites, in units of the cell vectors:
Tc 0.000 0.000 0.000
Os 0.500 0.500 0.500
S 0.405 0.405 0.405
S 0.595 0.595 0.595

Space-group type = R-3m, No. 166
Total magnetization = 0.0 μB/f.u.


Run b
# TcOsS2

A geometry-optimized TcOsS2 structure (GGA-PBE, Alexandria).

abc: 4.223 4.223 4.223
angles: 60.00 60.00 60.00
Sites, in units of the cell vectors:
Tc 0.000 0.000 0.000
Os 0.500 0.500 0.500
S 0.250 0.250 0.250
S 0.750 0.750 0.750

Space-group type = Fm-3m, No. 225
Total magnetization = 0.0 μB/f.u.


Energy relative to the most stable one, in meV per atom: run a 0; run b 328


Run a
# TeOs3S

A geometry-optimized TeOs3S structure (GGA-PBE, Alexandria).

abc: 4.878 4.878 4.878
angles: 90.00 90.00 90.00
Sites, in units of the cell vectors:
Te 0.000 0.000 0.000
Os 0.000 0.000 0.500
Os 0.000 0.500 0.000
Os 0.500 0.000 0.000
S 0.500 0.500 0.500

Space-group type = Pm-3m, No. 221
Total magnetization = 4.3 μB/f.u.


Run b
# TeOs3S

A geometry-optimized TeOs3S structure (GGA-PBE, Alexandria).

abc: 4.443 4.443 4.443
angles: 90.00 90.00 90.00
Sites, in units of the cell vectors:
Te 0.000 0.000 0.000
Os 0.000 0.500 0.500
Os 0.500 0.000 0.500
Os 0.500 0.500 0.000
S 0.500 0.500 0.500

Space-group type = Pm-3m, No. 221
Total magnetization = 0.0 μB/f.u.


Energy relative to the most stable one, in meV per atom: run a 1482; run b 0